An optimized crystal structure of BeAl2V6, computed with GGA-PBE.

Calculated values
Theoretical density   5.13 g cm⁻³
Crystal system   monoclinic

abc: 2.532 7.381 7.821
angles: 118.16 70.64 90.00
Atoms (fractional coordinates):
1 V 0.500 0.329 0.000
2 Al 0.667 0.667 0.333
3 V 0.815 0.671 0.671
4 V 0.815 0.000 0.671
5 V 0.500 0.671 0.000
6 Be 0.000 0.000 0.000
7 Al 0.333 0.333 0.667
8 V 0.185 0.329 0.329
9 V 0.185 0.000 0.329

---

An optimized crystal structure of BeAlV, computed with GGA-PBE.

Calculated values
Theoretical density   3.29 g cm⁻³
Relative energy among the computed polymorphs   618 meV/atom
Crystal system   tetragonal

abc: 2.561 2.561 6.929
angles: 100.65 100.65 90.00
Atoms (fractional coordinates):
1 Al 0.773 0.773 0.546
2 V 0.126 0.126 0.252
3 Be 0.951 0.951 0.902

---

An optimized crystal structure of BeAlV2, computed with GGA-PBE.

Calculated values
Theoretical density   4.32 g cm⁻³
Crystal system   tetragonal

abc: 6.575 6.575 5.257
angles: 51.29 51.29 90.00
Atoms (fractional coordinates):
1 Al 0.000 0.000 0.000
2 Al 0.750 0.250 0.500
3 Be 0.250 0.750 0.500
4 Be 0.500 0.500 0.000
5 V 0.875 0.854 0.750
6 V 0.146 0.625 0.250
7 V 0.604 0.125 0.250
8 V 0.375 0.396 0.750

---

Asked for magnetization across the records above, the calculation gives 0.000; 0.000; 0.000 μB/atom in order.
Asked for energy relative to the elements across the records above, the calculation gives -0.056; 0.529; 0.320 eV/atom in order.